{
  "formula": "BaErMgHg",
  "functional": "GGA-PBE",
  "state": "relaxed",
  "lattice": [[0.000, 3.981, 3.981], [3.981, 0.000, 3.981], [3.981, 3.981, 0.000]],
  "species": ["Ba", "Er", "Mg", "Hg"],
  "fractional_positions": [[0.000, 0.000, 0.000], [0.500, 0.500, 0.500], [0.250, 0.250, 0.250], [0.750, 0.750, 0.750]],
  "e_tot_ev_per_cell": -8.87,
  "magnetic_moment_mub_per_atom": 0.00,
  "ef_ev_per_fu": -0.486,
  "space_group": "No. 216"
}